## AcTbPr4Dy2 (GGA-PBE)

Data for a relaxed AcTbPr4Dy2 crystal.

## Properties
- Calculated volume: 35.51 Å³ per atom
- Calculated formation energy: 0.032 eV/atom
- Magnetization: 0.0 Bohr magnetons per cell

```
data_AcTbPr4Dy2
_chemical_formula_sum 'Ac2 Tb2 Pr8 Dy4'
_space_group_name_H-M_alt 'C 1 2/m 1'
_space_group_IT_number 12
_cell_length_a 11.639
_cell_length_b 5.221
_cell_length_c 10.470
_cell_angle_alpha 90.00
_cell_angle_beta 116.75
_cell_angle_gamma 90.00
loop_
_space_group_symop_operation_xyz
'x,y,z'
'-x,-y,-z'
'-x,y,-z'
'x,-y,z'
'x+1/2,y+1/2,z'
'-x+1/2,-y+1/2,-z'
'-x+1/2,y+1/2,-z'
'x+1/2,-y+1/2,z'
loop_
_atom_site_label
_atom_site_fract_x
_atom_site_fract_y
_atom_site_fract_z
Ac1 0.000 0.000 0.000
Tb1 0.000 0.000 0.500
Pr1 0.247 0.000 0.869
Pr2 0.249 0.500 0.622
Dy1 0.001 0.500 0.743
```